# Tm2InAu2

A relaxed Tm2InAu2 crystal (PBE-GGA, OQMD via LeMat-Bulk).

a = 7.8761 Å, b = 7.8761 Å, c = 3.6760 Å
α = 90.00°, β = 90.00°, γ = 90.00°
Fractional positions:
Tm1 0.1678 0.3322 0.0000
Tm2 0.3322 0.8322 0.0000
Tm3 0.6678 0.1678 0.0000
Tm4 0.8322 0.6678 0.0000
In1 0.0000 0.0000 0.5000
In2 0.5000 0.5000 0.5000
Au1 0.1304 0.6304 0.5000
Au2 0.3696 0.1304 0.5000
Au3 0.6304 0.8696 0.5000
Au4 0.8696 0.3696 0.5000

Calculated values
Magnetic moment = 0.01 Bohr magnetons per cell
E_tot = -4.46 eV/atom
Space-group type = No. 127